1.
A geometry-optimized Hf2MgCr structure, computed with PBE-GGA.

Cell: 4.0588 4.0588 10.2664 Å, 78.60 78.60 90.00°
Positions (direct):
Hf  0.3750  0.3609  0.7500
Hf  0.8750  0.8891  0.7500
Mg  0.2500  0.7500  0.5000
Cr  0.0000  0.0000  0.0000
Hf  0.6391  0.1250  0.2500
Mg  0.5000  0.5000  0.0000
Cr  0.7500  0.2500  0.5000
Hf  0.1109  0.6250  0.2500

Output
- calculated formation energy (eV/atom) = 0.895
- D(E_F) (states/eV/f.u.) = 3.889



2.
A geometry-optimized YHoNb4 structure, computed with PBE-GGA.

Cell: 5.7249 5.7249 5.7249 Å, 60.00 60.00 60.00°
Positions (direct):
Y  0.2500  0.2500  0.2500
Nb  0.6251  0.6251  0.1246
Nb  0.6251  0.6251  0.6251
Ho  0.0000  0.0000  0.0000
Nb  0.1246  0.6251  0.6251
Nb  0.6251  0.1246  0.6251

Output
- calculated formation energy (eV/atom) = 0.177
- D(E_F) (states/eV/f.u.) = 11.877